Material: NdSm6Tl3
Method: DFT, PBE
State: optimized geometry

Cell lengths 5.3214, 10.2870, 11.5196 Å; angles 100.03, 90.00, 90.00 degrees
Sites, in units of the cell vectors:
Nd (0.2500, 0.9540, 0.5944)
Nd (0.7500, 0.0460, 0.4056)
Sm (0.2500, 0.4498, 0.0952)
Sm (0.7500, 0.5502, 0.9048)
Sm (0.2500, 0.1366, 0.2247)
Sm (0.7500, 0.8634, 0.7753)
Sm (0.2500, 0.6404, 0.6894)
Sm (0.7500, 0.3596, 0.3106)
Sm (0.2500, 0.2755, 0.5188)
Sm (0.7500, 0.7245, 0.4812)
Sm (0.2500, 0.8161, 0.2790)
Sm (0.7500, 0.1839, 0.7210)
Sm (0.2500, 0.0730, 0.9086)
Sm (0.7500, 0.9270, 0.0914)
Tl (0.2500, 0.5413, 0.3908)
Tl (0.7500, 0.4587, 0.6092)
Tl (0.2500, 0.3605, 0.8101)
Tl (0.7500, 0.6395, 0.1899)
Tl (0.2500, 0.7602, 0.9712)
Tl (0.7500, 0.2398, 0.0288)

Results
SG: P2_1/m
D(E_F): 24.3 states/eV/cell
Energy of formation: -201 meV/atom
Total moment: 0.00 μB per cell
Theoretical density: 8.88 g/cm3